[1]
# TaAg2Hg | Alexandria via LeMat-Bulk | PBE | relaxed
# **Magnetic moment**: 0.000 μB per cell
# **Fermi-level density of states**: 2.48 states/eV/f.u.
# **Crystal system**: tetragonal
# **Energy of formation**: 189 kJ/mol of formula units
data_TaAg2Hg
_cell_length_a 4.7492
_cell_length_b 4.7492
_cell_length_c 6.5639
_cell_angle_alpha 90.00
_cell_angle_beta 90.00
_cell_angle_gamma 90.00
_space_group_name_H-M_alt 'I -4 m 2'
_space_group_IT_number 119
_space_group_name_Hall 'I -4 -2'
loop_
_atom_site_label
_atom_site_fract_x
_atom_site_fract_y
_atom_site_fract_z
Ta1 0.0000 0.0000 0.0000
Ag1 0.0000 0.0000 0.5000
Ag2 0.0000 0.5000 0.2500
Hg1 0.0000 0.5000 0.7500

---

[2]
# TaAg2Hg | Alexandria via LeMat-Bulk | PBE | relaxed
# **Magnetic moment**: 0.000 μB per cell
# **Fermi-level density of states**: 3.39 states/eV/f.u.
# **Crystal system**: tetragonal
# **Energy of formation**: 102 kJ/mol of formula units
data_TaAg2Hg
_cell_length_a 2.9520
_cell_length_b 2.9520
_cell_length_c 8.6306
_cell_angle_alpha 90.00
_cell_angle_beta 90.00
_cell_angle_gamma 90.00
_space_group_name_H-M_alt 'P 4/m m m'
_space_group_IT_number 123
_space_group_name_Hall '-P 4 2'
loop_
_atom_site_label
_atom_site_fract_x
_atom_site_fract_y
_atom_site_fract_z
Ta1 0.0000 0.0000 0.0000
Ag1 0.5000 0.5000 0.2400
Hg1 0.0000 0.0000 0.5000

---

[3]
# TaAg2Hg | Alexandria via LeMat-Bulk | PBE | relaxed
# **Magnetic moment**: 0.000 μB per cell
# **Fermi-level density of states**: 2.51 states/eV/f.u.
# **Crystal system**: tetragonal
# **Energy of formation**: 200 kJ/mol of formula units
data_TaAg2Hg
_cell_length_a 4.3148
_cell_length_b 4.3148
_cell_length_c 7.9508
_cell_angle_alpha 90.00
_cell_angle_beta 90.00
_cell_angle_gamma 90.00
_space_group_name_H-M_alt 'I 4/m m m'
_space_group_IT_number 139
_space_group_name_Hall '-I 4 2'
loop_
_atom_site_label
_atom_site_fract_x
_atom_site_fract_y
_atom_site_fract_z
Ta1 0.0000 0.0000 0.0000
Ag1 0.0000 0.5000 0.2500
Hg1 0.0000 0.0000 0.5000

---

[4]
# Ta3AgHg | Alexandria via LeMat-Bulk | PBE | relaxed
# **Magnetic moment**: 0.001 μB per cell
# **Fermi-level density of states**: 10.18 states/eV/f.u.
# **Crystal system**: cubic
# **Energy of formation**: 929 kJ/mol of formula units
data_Ta3AgHg
_cell_length_a 4.9020
_cell_length_b 4.9020
_cell_length_c 4.9020
_cell_angle_alpha 90.00
_cell_angle_beta 90.00
_cell_angle_gamma 90.00
_space_group_name_H-M_alt 'P m -3 m'
_space_group_IT_number 221
_space_group_name_Hall '-P 4 2 3'
loop_
_atom_site_label
_atom_site_fract_x
_atom_site_fract_y
_atom_site_fract_z
Ta1 0.0000 0.0000 0.5000
Ag1 0.0000 0.0000 0.0000
Hg1 0.5000 0.5000 0.5000

---

[5]
# Ta3AgHg | Alexandria via LeMat-Bulk | PBE | relaxed
# **Magnetic moment**: 2.041 μB per cell
# **Fermi-level density of states**: 2.63 states/eV/f.u.
# **Crystal system**: cubic
# **Energy of formation**: 1094 kJ/mol of formula units
data_Ta3AgHg
_cell_length_a 5.0277
_cell_length_b 5.0277
_cell_length_c 5.0277
_cell_angle_alpha 90.00
_cell_angle_beta 90.00
_cell_angle_gamma 90.00
_space_group_name_H-M_alt 'P m -3 m'
_space_group_IT_number 221
_space_group_name_Hall '-P 4 2 3'
loop_
_atom_site_label
_atom_site_fract_x
_atom_site_fract_y
_atom_site_fract_z
Ta1 0.0000 0.0000 0.5000
Ag1 0.5000 0.5000 0.5000
Hg1 0.0000 0.0000 0.0000

---

[6]
# TaAg3Hg | Alexandria via LeMat-Bulk | PBE | relaxed
# **Magnetic moment**: 2.960 μB per cell
# **Fermi-level density of states**: 5.06 states/eV/f.u.
# **Crystal system**: cubic
# **Energy of formation**: 732 kJ/mol of formula units
data_TaAg3Hg
_cell_length_a 5.0771
_cell_length_b 5.0771
_cell_length_c 5.0771
_cell_angle_alpha 90.00
_cell_angle_beta 90.00
_cell_angle_gamma 90.00
_space_group_name_H-M_alt 'P m -3 m'
_space_group_IT_number 221
_space_group_name_Hall '-P 4 2 3'
loop_
_atom_site_label
_atom_site_fract_x
_atom_site_fract_y
_atom_site_fract_z
Ta1 0.0000 0.0000 0.0000
Ag1 0.0000 0.5000 0.5000
Hg1 0.5000 0.5000 0.5000

---

[7]
# TaAg2Hg | Alexandria via LeMat-Bulk | PBE | relaxed
# **Magnetic moment**: 0.000 μB per cell
# **Fermi-level density of states**: 2.43 states/eV/f.u.
# **Crystal system**: orthorhombic
# **Energy of formation**: 156 kJ/mol of formula units
data_TaAg2Hg
_cell_length_a 2.8533
_cell_length_b 5.1712
_cell_length_c 10.4079
_cell_angle_alpha 90.00
_cell_angle_beta 90.00
_cell_angle_gamma 90.00
_space_group_name_H-M_alt 'I m m m'
_space_group_IT_number 71
_space_group_name_Hall '-I 2 2'
loop_
_atom_site_label
_atom_site_fract_x
_atom_site_fract_y
_atom_site_fract_z
Ta1 0.0000 0.0000 0.0000
Ag1 0.0000 0.5000 0.2559
Hg1 0.0000 0.0000 0.5000

---

[8]
# TaAg2Hg | Alexandria via LeMat-Bulk | PBE | relaxed
# **Magnetic moment**: 0.000 μB per cell
# **Fermi-level density of states**: 2.44 states/eV/f.u.
# **Crystal system**: orthorhombic
# **Energy of formation**: 139 kJ/mol of formula units
data_TaAg2Hg
_cell_length_a 2.8796
_cell_length_b 4.1987
_cell_length_c 6.1993
_cell_angle_alpha 90.00
_cell_angle_beta 90.00
_cell_angle_gamma 90.00
_space_group_name_H-M_alt 'P m m 2'
_space_group_IT_number 25
_space_group_name_Hall 'P 2 -2'
loop_
_atom_site_label
_atom_site_fract_x
_atom_site_fract_y
_atom_site_fract_z
Ta1 0.0000 0.0000 0.0000
Ag1 0.0000 0.0000 0.4812
Ag2 0.5000 0.5000 0.2392
Hg1 0.5000 0.5000 0.7499

---

[9]
# TaAg2Hg | Alexandria via LeMat-Bulk | PBE | relaxed
# **Magnetic moment**: 0.000 μB per cell
# **Fermi-level density of states**: 2.05 states/eV/f.u.
# **Crystal system**: tetragonal
# **Energy of formation**: 195 kJ/mol of formula units
data_TaAg2Hg
_cell_length_a 5.1235
_cell_length_b 5.1235
_cell_length_c 2.8961
_cell_angle_alpha 90.00
_cell_angle_beta 90.00
_cell_angle_gamma 90.00
_space_group_name_H-M_alt 'P 4/m m m'
_space_group_IT_number 123
_space_group_name_Hall '-P 4 2'
loop_
_atom_site_label
_atom_site_fract_x
_atom_site_fract_y
_atom_site_fract_z
Ta1 0.0000 0.0000 0.0000
Ag1 0.0000 0.5000 0.5000
Hg1 0.5000 0.5000 0.0000

---

[10]
# TaAg2Hg | Alexandria via LeMat-Bulk | PBE | relaxed
# **Magnetic moment**: 0.000 μB per cell
# **Fermi-level density of states**: 3.39 states/eV/f.u.
# **Crystal system**: orthorhombic
# **Energy of formation**: 102 kJ/mol of formula units
data_TaAg2Hg
_cell_length_a 4.1724
_cell_length_b 4.1804
_cell_length_c 8.5434
_cell_angle_alpha 90.00
_cell_angle_beta 90.00
_cell_angle_gamma 90.00
_space_group_name_H-M_alt 'C m m 2'
_space_group_IT_number 35
_space_group_name_Hall 'C 2 -2'
loop_
_atom_site_label
_atom_site_fract_x
_atom_site_fract_y
_atom_site_fract_z
Ta1 0.0000 0.0000 0.0000
Ag1 0.0000 0.0000 0.5163
Ag2 0.0000 0.5000 0.7591
Hg1 0.0000 0.5000 0.2556

---

[11]
# TaAg2Hg | Alexandria via LeMat-Bulk | PBE | relaxed
# **Magnetic moment**: 0.028 μB per cell
# **Fermi-level density of states**: 5.04 states/eV/f.u.
# **Crystal system**: orthorhombic
# **Energy of formation**: 182 kJ/mol of formula units
data_TaAg2Hg
_cell_length_a 6.0144
_cell_length_b 9.0948
_cell_length_c 2.7952
_cell_angle_alpha 90.00
_cell_angle_beta 90.00
_cell_angle_gamma 90.00
_space_group_name_H-M_alt 'C m m m'
_space_group_IT_number 65
_space_group_name_Hall '-C 2 2'
loop_
_atom_site_label
_atom_site_fract_x
_atom_site_fract_y
_atom_site_fract_z
Ta1 0.0000 0.0000 0.0000
Ag1 0.2500 0.2500 0.5000
Hg1 0.0000 0.5000 0.0000

---

[12]
# TaAg2Hg | Alexandria via LeMat-Bulk | PBE | relaxed
# **Magnetic moment**: 0.000 μB per cell
# **Fermi-level density of states**: 3.41 states/eV/f.u.
# **Crystal system**: tetragonal
# **Energy of formation**: 311 kJ/mol of formula units
data_TaAg2Hg
_cell_length_a 7.6558
_cell_length_b 7.6558
_cell_length_c 5.6419
_cell_angle_alpha 90.00
_cell_angle_beta 90.00
_cell_angle_gamma 90.00
_space_group_name_H-M_alt 'I -4 2 d'
_space_group_IT_number 122
_space_group_name_Hall 'I -4 2bw'
loop_
_atom_site_label
_atom_site_fract_x
_atom_site_fract_y
_atom_site_fract_z
Ta1 0.0000 0.0000 0.0000
Ag1 0.2431 0.2500 0.1250
Hg1 0.0000 0.0000 0.5000

---

[13]
# TaAg2Hg | Alexandria via LeMat-Bulk | PBE | relaxed
# **Magnetic moment**: 0.000 μB per cell
# **Fermi-level density of states**: 2.37 states/eV/f.u.
# **Crystal system**: orthorhombic
# **Energy of formation**: 169 kJ/mol of formula units
data_TaAg2Hg
_cell_length_a 2.8775
_cell_length_b 5.1672
_cell_length_c 10.2336
_cell_angle_alpha 90.00
_cell_angle_beta 90.00
_cell_angle_gamma 90.00
_space_group_name_H-M_alt 'I m m 2'
_space_group_IT_number 44
_space_group_name_Hall 'I 2 -2'
loop_
_atom_site_label
_atom_site_fract_x
_atom_site_fract_y
_atom_site_fract_z
Ta1 0.0000 0.0000 0.0000
Ag1 0.0000 0.0000 0.4979
Ag2 0.0000 0.5000 0.7499
Hg1 0.0000 0.5000 0.2493

---

[14]
# TaAg2Hg | Alexandria via LeMat-Bulk | PBE | relaxed
# **Magnetic moment**: 0.000 μB per cell
# **Fermi-level density of states**: 1.44 states/eV/f.u.
# **Crystal system**: trigonal
# **Energy of formation**: 81 kJ/mol of formula units
data_TaAg2Hg
_cell_length_a 2.9572
_cell_length_b 2.9572
_cell_length_c 30.0964
_cell_angle_alpha 90.00
_cell_angle_beta 90.00
_cell_angle_gamma 120.00
_space_group_name_H-M_alt 'R -3 m'
_space_group_IT_number 166
_space_group_name_Hall '-R 3 2"'
loop_
_atom_site_label
_atom_site_fract_x
_atom_site_fract_y
_atom_site_fract_z
Ta1 0.0000 0.0000 0.0000
Ag1 0.0000 0.0000 0.2529
Hg1 0.0000 0.0000 0.5000